Computed, not measured: a relaxed ReBiMo2O crystal at the PBE+U level of DFT.

Results
The total DFT energy (no corrections) is -6.44 eV per atom.

Cell lengths 5.3747, 3.7725, 5.3747 Å; angles 90.00, 90.00, 90.00 degrees
Last column: nearest neighbours and their distance in Å.
Sites, in units of the cell vectors:
Bi 0.5000 0.5000 0.5000  8 Mo 3.28
O 0.0000 0.5000 0.0000  2 Re 1.89
Mo 0.0000 0.0000 0.5000  2 Re 2.69
Mo 0.5000 0.0000 0.0000  2 Re 2.69
Re 0.0000 0.0000 0.0000  2 O 1.89